{
  "formula": "LaZrPt",
  "functional": "PBE",
  "state": "relaxed",
  "dft_energy_ev_per_atom": -6.913,
  "formation_enthalpy_0k_ev_per_atom": -0.405,
  "m_tot_mub_per_fu": 0.0,
  "lattice_angstrom": [[0.0000, 3.4331, 3.4331], [3.4331, 0.0000, 3.4331], [3.4331, 3.4331, 0.0000]],
  "species": ["La", "Zr", "Pt"],
  "fractional_positions": [[0.0000, 0.0000, 0.0000], [0.5000, 0.5000, 0.5000], [0.2500, 0.2500, 0.2500]]
}


{
  "formula": "NbPdO3F",
  "functional": "PBE",
  "state": "relaxed",
  "dft_energy_ev_per_atom": -7.154,
  "m_tot_mub_per_fu": 0.0,
  "lattice_angstrom": [[3.8247, 0.0000, 0.0000], [0.9036, 6.5896, 0.0000], [0.4558, 2.7419, 6.1310]],
  "species": ["Nb", "Nb", "Pd", "Pd", "O", "O", "O", "O", "O", "O", "F", "F"],
  "fractional_positions": [[0.2449, 0.1667, 0.2848], [0.7551, 0.8333, 0.7152], [0.2318, 0.3611, 0.6958], [0.7682, 0.6389, 0.3042], [0.1890, 0.4046, 0.3839], [0.2401, 0.3271, 0.9949], [0.2500, 0.9097, 0.6364], [0.7500, 0.0903, 0.3636], [0.7599, 0.6729, 0.0051], [0.8110, 0.5954, 0.6161], [0.3311, 0.8716, 0.2330], [0.6689, 0.1284, 0.7670]]
}


{
  "formula": "Dy2ErMgPt4",
  "functional": "PBE",
  "state": "relaxed",
  "dft_energy_ev_per_atom": -6.074,
  "m_tot_mub_per_fu": 0.0,
  "lattice_angstrom": [[4.8218, 0.0000, 0.0000], [0.0000, 4.8218, 0.0000], [0.0000, 0.0000, 6.8219]],
  "species": ["Dy", "Dy", "Er", "Mg", "Pt", "Pt", "Pt", "Pt"],
  "fractional_positions": [[0.0000, 0.0000, 0.0000], [0.5000, 0.5000, 0.5000], [0.0000, 0.0000, 0.5000], [0.5000, 0.5000, 0.0000], [0.0000, 0.5000, 0.2464], [0.0000, 0.5000, 0.7536], [0.5000, 0.0000, 0.2464], [0.5000, 0.0000, 0.7536]]
}


{
  "formula": "MoH2",
  "functional": "PBE",
  "state": "relaxed",
  "polymorph_energy_mev_per_atom": 15,
  "dft_energy_ev_per_atom": -5.790,
  "m_tot_mub_per_fu": 0.0,
  "lattice_angstrom": [[4.9467, 0.0000, 0.0000], [0.0000, 3.0764, 0.0000], [0.0000, 0.0000, 5.3685]],
  "species": ["Mo", "Mo", "Mo", "Mo", "H", "H", "H", "H", "H", "H", "H", "H"],
  "fractional_positions": [[0.2361, 0.2500, 0.0857], [0.2639, 0.7500, 0.5857], [0.7361, 0.2500, 0.4143], [0.7639, 0.7500, 0.9143], [0.0131, 0.7500, 0.1786], [0.1211, 0.2500, 0.4210], [0.3789, 0.7500, 0.9210], [0.4869, 0.2500, 0.6786], [0.5131, 0.7500, 0.3214], [0.6211, 0.2500, 0.0790], [0.8789, 0.7500, 0.5790], [0.9869, 0.2500, 0.8214]]
}


{
  "formula": "PuAlB",
  "functional": "PBE",
  "state": "relaxed",
  "polymorph_energy_mev_per_atom": 773,
  "dft_energy_ev_per_atom": -7.448,
  "m_tot_mub_per_fu": 5.6,
  "lattice_angstrom": [[0.0000, 2.9338, 2.9338], [2.9338, 0.0000, 2.9338], [2.9338, 2.9338, 0.0000]],
  "species": ["Pu", "Al", "B"],
  "fractional_positions": [[0.0000, 0.0000, 0.0000], [0.7500, 0.7500, 0.7500], [0.5000, 0.5000, 0.5000]]
}


{
  "formula": "PrMgAgTe2Se",
  "functional": "PBE",
  "state": "relaxed",
  "dft_energy_ev_per_atom": -4.019,
  "m_tot_mub_per_fu": 0.0,
  "lattice_angstrom": [[2.0941, -7.0124, 0.0000], [2.0941, 7.0124, 0.0000], [0.0000, 0.0000, 11.2620]],
  "species": ["Pr", "Pr", "Mg", "Mg", "Ag", "Ag", "Te", "Te", "Te", "Te", "Se", "Se"],
  "fractional_positions": [[0.0000, 0.0000, 0.0000], [0.0000, 0.0000, 0.5000], [0.2535, 0.7465, 0.7500], [0.7465, 0.2535, 0.2500], [0.4833, 0.5167, 0.2500], [0.5167, 0.4833, 0.7500], [0.3419, 0.6581, 0.0764], [0.3419, 0.6581, 0.4236], [0.6581, 0.3419, 0.5764], [0.6581, 0.3419, 0.9236], [0.1073, 0.8927, 0.2500], [0.8927, 0.1073, 0.7500]]
}


{
  "formula": "Y4CuSbN2",
  "functional": "PBE",
  "state": "relaxed",
  "dft_energy_ev_per_atom": -7.298,
  "m_tot_mub_per_fu": 0.0,
  "lattice_angstrom": [[3.5547, 0.0000, 0.0000], [-1.7773, 3.0784, 0.0000], [0.0000, 0.0000, 14.4204]],
  "species": ["Y", "Y", "Y", "Y", "Cu", "Sb", "N", "N"],
  "fractional_positions": [[0.0000, 0.0000, 0.1428], [0.0000, 0.0000, 0.8572], [0.6667, 0.3333, 0.3301], [0.6667, 0.3333, 0.6699], [0.6667, 0.3333, 0.0000], [0.0000, 0.0000, 0.5000], [0.3333, 0.6667, 0.2457], [0.3333, 0.6667, 0.7543]]
}


{
  "formula": "BaMgSn2Hg",
  "functional": "PBE",
  "state": "relaxed",
  "dft_energy_ev_per_atom": -2.803,
  "lattice_angstrom": [[4.9262, 0.0000, 0.0000], [0.0000, 4.9262, 0.0000], [0.0000, 0.0000, 12.3876]],
  "species": ["Ba", "Ba", "Mg", "Mg", "Sn", "Sn", "Sn", "Sn", "Hg", "Hg"],
  "fractional_positions": [[0.2500, 0.2500, 0.2487], [0.7500, 0.7500, 0.7513], [0.2500, 0.7500, 0.5000], [0.7500, 0.2500, 0.5000], [0.2500, 0.2500, 0.6309], [0.2500, 0.7500, 0.0000], [0.7500, 0.2500, 0.0000], [0.7500, 0.7500, 0.3691], [0.2500, 0.2500, 0.8593], [0.7500, 0.7500, 0.1407]]
}


{
  "formula": "Nd3TlCd2AgPt2",
  "functional": "PBE",
  "state": "relaxed",
  "dft_energy_ev_per_atom": -4.400,
  "m_tot_mub_per_fu": 0.0,
  "lattice_angstrom": [[3.9680, 0.0000, 0.0000], [0.0000, 6.8317, 3.9700], [0.0000, -6.8317, 3.9700]],
  "species": ["Nd", "Nd", "Nd", "Tl", "Cd", "Cd", "Ag", "Pt", "Pt"],
  "fractional_positions": [[0.0000, 0.0000, 0.0000], [0.0000, 0.1723, 0.5878], [0.0000, 0.5878, 0.1723], [0.5000, 0.3294, 0.3294], [0.5000, 0.5866, 0.8467], [0.5000, 0.8467, 0.5866], [0.0000, 0.5935, 0.5935], [0.5000, 0.2514, 0.9152], [0.5000, 0.9152, 0.2514]]
}


{
  "formula": "SmTlPd",
  "functional": "PBE",
  "state": "relaxed",
  "polymorph_energy_mev_per_atom": 68,
  "dft_energy_ev_per_atom": -4.661,
  "m_tot_mub_per_fu": 0.0,
  "lattice_angstrom": [[4.8415, 0.0000, 0.0000], [-2.4207, 4.1928, 0.0000], [0.0000, 0.0000, 6.8836]],
  "species": ["Sm", "Sm", "Tl", "Tl", "Pd", "Pd"],
  "fractional_positions": [[0.0000, 0.0000, 0.0000], [0.0000, 0.0000, 0.5000], [0.3333, 0.6667, 0.2473], [0.6667, 0.3333, 0.7473], [0.3333, 0.6667, 0.7587], [0.6667, 0.3333, 0.2587]]
}


{
  "formula": "HfTlAgSe3",
  "functional": "PBE",
  "state": "relaxed",
  "polymorph_energy_mev_per_atom": 82,
  "dft_energy_ev_per_atom": -5.000,
  "m_tot_mub_per_fu": 0.0,
  "lattice_angstrom": [[8.7295, -1.9275, 0.0000], [8.7295, 1.9275, 0.0000], [-1.4710, 0.0000, 9.0787]],
  "species": ["Hf", "Hf", "Tl", "Tl", "Ag", "Ag", "Se", "Se", "Se", "Se", "Se", "Se"],
  "fractional_positions": [[0.1631, 0.1631, 0.0808], [0.8369, 0.8369, 0.9192], [0.1326, 0.1326, 0.5672], [0.8674, 0.8674, 0.4328], [0.4725, 0.4725, 0.7776], [0.5275, 0.5275, 0.2224], [0.0000, 0.0000, 0.0000], [0.3194, 0.3194, 0.7180], [0.3233, 0.3233, 0.1207], [0.5000, 0.5000, 0.5000], [0.6767, 0.6767, 0.8793], [0.6806, 0.6806, 0.2820]]
}


{
  "formula": "LiTbCdTe3",
  "functional": "PBE",
  "state": "relaxed",
  "polymorph_energy_mev_per_atom": 48,
  "dft_energy_ev_per_atom": -3.718,
  "m_tot_mub_per_fu": 0.0,
  "lattice_angstrom": [[2.1598, -7.2012, 0.0000], [2.1598, 7.2012, 0.0000], [0.0000, 0.0000, 11.6356]],
  "species": ["Li", "Li", "Tb", "Tb", "Cd", "Cd", "Te", "Te", "Te", "Te", "Te", "Te"],
  "fractional_positions": [[0.2143, 0.7857, 0.7500], [0.7857, 0.2143, 0.2500], [0.0000, 0.0000, 0.0000], [0.0000, 0.0000, 0.5000], [0.4785, 0.5215, 0.2500], [0.5215, 0.4785, 0.7500], [0.1052, 0.8948, 0.2500], [0.3541, 0.6459, 0.0642], [0.3541, 0.6459, 0.4358], [0.6459, 0.3541, 0.5642], [0.6459, 0.3541, 0.9358], [0.8948, 0.1052, 0.7500]]
}